# 1
## CsBeP (GGA-PBE)

Data for a relaxed CsBeP crystal.

The space group is P-1 (No. 2) and the conventional cell measures 3.7805, 6.6366 and 7.1786 Å, with angles of 107.07, 105.12 and 90.14 degrees. Symmetry generates all atoms from Cs at (0.0882, 0.3138, 0.1814), Be at (0.2148, 0.9250, 0.4297) and P at (0.3534, 0.1850, 0.7070).

The calculation puts the energy of formation from the pure elements at -454 meV/atom. The value obtained for the magnetic moment is 0.00 μB per formula unit. The raw total energy is -22.7 eV/cell.



# 2
## CsBeP3 (GGA-PBE)

Data for a relaxed CsBeP3 crystal.

The space group is Pm-3m (No. 221) and the conventional cell measures 5.4711, 5.4711 and 5.4711 Å, with angles of 90.00, 90.00 and 90.00 degrees. Symmetry generates all atoms from Cs at (0.0000, 0.0000, 0.0000), Be at (0.5000, 0.5000, 0.5000) and P at (0.0000, 0.0000, 0.5000).

The calculation puts the energy of formation from the pure elements at 2589 meV/atom. The value obtained for the magnetic moment is 0.00 μB per formula unit. The raw total energy is -7.9 eV/cell. For the distance to the lowest polymorph of the same formula, the calculation gives 1964.3 meV per atom.



# 3
## CsBeP (GGA-PBE)

Data for a relaxed CsBeP crystal.

The space group is I4mm (No. 107) and the conventional cell measures 5.1951, 5.1951 and 8.9627 Å, with angles of 90.00, 90.00 and 90.00 degrees. Symmetry generates all atoms from Cs at (0.0000, 0.0000, 0.0000), Be at (0.0000, 0.0000, 0.4006) and P at (0.0000, 0.0000, 0.6126).

The calculation puts the energy of formation from the pure elements at 773 meV/atom. The value obtained for the magnetic moment is 0.00 μB per formula unit. The raw total energy is -15.3 eV/cell.



# 4
## CsBe3P (GGA-PBE)

Data for a relaxed CsBe3P crystal.

The space group is Pm-3m (No. 221) and the conventional cell measures 5.0423, 5.0423 and 5.0423 Å, with angles of 90.00, 90.00 and 90.00 degrees. Symmetry generates all atoms from Cs at (0.0000, 0.0000, 0.0000), Be at (0.0000, 0.0000, 0.5000) and P at (0.5000, 0.5000, 0.5000).

The calculation puts the energy of formation from the pure elements at 2748 meV/atom. The value obtained for the magnetic moment is 0.00 μB per formula unit. The raw total energy is -3.7 eV/cell. For the distance to the lowest polymorph of the same formula, the calculation gives 1652.8 meV per atom.



# 5
## CsBe2P2 (GGA-PBE)

Data for a relaxed CsBe2P2 crystal.

The space group is I4/mmm (No. 139) and the conventional cell measures 3.6390, 3.6390 and 15.1781 Å, with angles of 90.00, 90.00 and 90.00 degrees. Symmetry generates all atoms from Cs at (0.0000, 0.0000, 0.0000), Be at (0.0000, 0.5000, 0.2500) and P at (0.0000, 0.0000, 0.3346).

The calculation puts the energy of formation from the pure elements at -309 meV/atom. The value obtained for the magnetic moment is 0.00 μB per formula unit. The raw total energy is -41.3 eV/cell.



# 6
## CsBeP (GGA-PBE)

Data for a relaxed CsBeP crystal.

The space group is Pnma (No. 62) and the conventional cell measures 10.7395, 3.8125 and 11.2367 Å, with angles of 90.00, 90.00 and 90.00 degrees. Symmetry generates all atoms from Cs at (0.2064, 0.2500, 0.2235), Be at (0.0409, 0.7500, 0.9643) and P at (0.0848, 0.2500, 0.8867).

The calculation puts the energy of formation from the pure elements at -381 meV/atom. The value obtained for the magnetic moment is 0.00 μB per formula unit. The raw total energy is -44.5 eV/cell.



# 7
## CsBeP (GGA-PBE)

Data for a relaxed CsBeP crystal.

The space group is P2_1/c (No. 14) and the conventional cell measures 6.9614, 7.3582 and 7.3492 Å, with angles of 90.00, 121.85 and 90.00 degrees. Symmetry generates all atoms from Cs at (0.1208, 0.0008, 0.3105), Be at (0.5004, 0.1348, 0.1346) and P at (0.4991, 0.6578, 0.6582).

The calculation puts the energy of formation from the pure elements at -380 meV/atom. The value obtained for the magnetic moment is 0.00 μB per formula unit. The raw total energy is -44.5 eV/cell.



# 8
## CsBeP2 (GGA-PBE)

Data for a relaxed CsBeP2 crystal.

The space group is I4_1/amd (No. 141, origin choice 2) and the conventional cell measures 5.2496, 5.2496 and 14.2367 Å, with angles of 90.00, 90.00 and 90.00 degrees. Symmetry generates all atoms from Cs at (0.0000, 0.2500, 0.3750), Be at (0.0000, 0.2500, 0.8750) and P at (0.0000, 0.0000, 0.0000).

The calculation puts the energy of formation from the pure elements at -23 meV/atom. The value obtained for the magnetic moment is 0.00 μB per formula unit. The raw total energy is -62.0 eV/cell.